No. 1
LiPmSi2Pd2 | PBE | optimized geometry

a = 4.1984 Å, b = 4.1984 Å, c = 6.7888 Å
α = 90.00°, β = 90.00°, γ = 120.00°
Fractional positions:
Li 0.0000 0.0000 0.0000
Pm 0.0000 0.0000 0.5000
Si 0.3333 0.6667 0.7789
Si 0.6667 0.3333 0.2211
Pd 0.3333 0.6667 0.1446
Pd 0.6667 0.3333 0.8554

Computed properties:
For the total DFT energy (no corrections), the calculation gives -32.7 eV/cell. The space group is P-3m1. Its crystal system is trigonal. The value obtained for the formation energy (no corrections) is -0.808 eV/atom.

No. 2
LiPmSi2Pd5 | PBE | optimized geometry

a = 4.1323 Å, b = 4.1323 Å, c = 9.0835 Å
α = 90.00°, β = 90.00°, γ = 90.00°
Fractional positions:
Li 0.0000 0.0000 0.0000
Pm 0.0000 0.0000 0.5000
Si 0.5000 0.5000 0.1274
Si 0.5000 0.5000 0.8726
Pd 0.0000 0.5000 0.2593
Pd 0.0000 0.5000 0.7407
Pd 0.5000 0.0000 0.2593
Pd 0.5000 0.0000 0.7407
Pd 0.5000 0.5000 0.5000

Computed properties:
For the total DFT energy (no corrections), the calculation gives -49.7 eV/cell. The space group is P4/mmm. Its crystal system is tetragonal. The value obtained for the formation energy (no corrections) is -0.694 eV/atom.

No. 3
LiPmSiPd | PBE | optimized geometry

a = 4.6512 Å, b = 4.6512 Å, c = 4.6512 Å
α = 60.00°, β = 60.00°, γ = 60.00°
Fractional positions:
Li 0.0000 0.0000 0.0000
Pm 0.2500 0.2500 0.2500
Si 0.7500 0.7500 0.7500
Pd 0.5000 0.5000 0.5000

Computed properties:
For the total DFT energy (no corrections), the calculation gives -19.8 eV/cell. The space group is F-43m. Its crystal system is cubic. The value obtained for the formation energy (no corrections) is -0.630 eV/atom.

No. 4
LiPm2SiPd6 | PBE | optimized geometry

a = 6.3875 Å, b = 6.3875 Å, c = 8.0099 Å
α = 126.85°, β = 126.85°, γ = 51.77°
Fractional positions:
Li 0.0000 0.0000 0.0000
Pm 0.2583 0.2583 0.7830
Pm 0.7417 0.7417 0.2170
Si 0.5000 0.5000 0.5000
Pd 0.2324 0.7385 0.2470
Pd 0.2480 0.2480 0.3922
Pd 0.2615 0.7676 0.7530
Pd 0.7385 0.2324 0.2470
Pd 0.7520 0.7520 0.6078
Pd 0.7676 0.2615 0.7530

Computed properties:
For the total DFT energy (no corrections), the calculation gives -54.4 eV/cell. The space group is C2/m. Its crystal system is monoclinic. The value obtained for the formation energy (no corrections) is -0.638 eV/atom.

Q: Among the records above, which one has the highest total DFT energy (no corrections)?
A: LiPmSiPd

Q: Which value of formation energy (no corrections) does entry 3 give?
A: -0.630 eV/atom

Repeat the third record exactly.
LiPmSiPd | PBE | optimized geometry

a = 4.6512 Å, b = 4.6512 Å, c = 4.6512 Å
α = 60.00°, β = 60.00°, γ = 60.00°
Fractional positions:
Li 0.0000 0.0000 0.0000
Pm 0.2500 0.2500 0.2500
Si 0.7500 0.7500 0.7500
Pd 0.5000 0.5000 0.5000

Computed properties:
For the total DFT energy (no corrections), the calculation gives -19.8 eV/cell. The space group is F-43m. Its crystal system is cubic. The value obtained for the formation energy (no corrections) is -0.630 eV/atom.